1.
DFT (PBEsol) results for crystalline Sc2HgIr at its relaxed geometry.

a b c (Å): 3.220 4.759 4.760
angles (deg): 90.00 90.00 90.00
Fractional positions:
Sc: 0.000 0.000 0.000
Sc: 0.000 0.500 0.496
Hg: 0.500 0.500 0.995
Ir: 0.500 0.000 0.501

Values from the calculation:
Crystal system: orthorhombic
Formation energy from the elements, eV per atom: -0.685

2.
DFT (PBEsol) results for crystalline Sc2HgIr at its relaxed geometry.

a b c (Å): 3.195 4.183 5.789
angles (deg): 90.00 90.00 90.00
Fractional positions:
Sc: 0.000 0.000 0.000
Sc: 0.500 0.500 0.323
Hg: 0.000 0.000 0.526
Ir: 0.500 0.500 0.876

Values from the calculation:
Crystal system: orthorhombic
Formation energy from the elements, eV per atom: -0.446

3.
DFT (PBEsol) results for crystalline Sc2HgIr at its relaxed geometry.

a b c (Å): 3.159 3.251 7.219
angles (deg): 90.00 90.00 90.00
Fractional positions:
Sc: 0.000 0.000 0.222
Sc: 0.000 0.000 0.778
Hg: 0.500 0.500 0.500
Ir: 0.500 0.500 0.000

Values from the calculation:
Crystal system: orthorhombic
Formation energy from the elements, eV per atom: -0.779

4.
DFT (PBEsol) results for crystalline Sc2HgIr at its relaxed geometry.

a b c (Å): 5.308 5.308 5.308
angles (deg): 137.86 132.57 65.30
Fractional positions:
Sc: 0.000 0.000 0.000
Sc: 0.738 0.238 0.500
Hg: 0.260 0.760 0.500
Ir: 0.515 0.515 0.000

Values from the calculation:
Crystal system: orthorhombic
Formation energy from the elements, eV per atom: -0.534

5.
DFT (PBEsol) results for crystalline ScZnHgIr2 at its relaxed geometry.

a b c (Å): 4.573 4.573 4.581
angles (deg): 90.00 90.00 90.00
Fractional positions:
Sc: 0.000 0.000 0.000
Zn: 0.500 0.500 0.500
Hg: 0.500 0.500 0.000
Ir: 0.000 0.500 0.500
Ir: 0.500 0.000 0.500

Values from the calculation:
Crystal system: tetragonal
Formation energy from the elements, eV per atom: 0.627

6.
DFT (PBEsol) results for crystalline HgIr2Se at its relaxed geometry.

a b c (Å): 4.701 4.701 4.701
angles (deg): 126.61 126.61 78.88
Fractional positions:
Hg: 0.000 0.000 0.000
Ir: 0.250 0.750 0.500
Ir: 0.750 0.250 0.500
Se: 0.500 0.500 0.000

Values from the calculation:
Energy above the lowest structure with this stoichiometry, eV/atom: 0.328
Crystal system: tetragonal
Energy relative to the elements, uncorrected, kJ/mol of formula units: 259

7.
DFT (PBEsol) results for crystalline HgIr2Se at its relaxed geometry.

a b c (Å): 5.266 5.266 5.174
angles (deg): 94.88 94.88 32.22
Fractional positions:
Hg: 0.000 0.000 0.000
Ir: 0.606 0.606 0.441
Ir: 0.889 0.889 0.481
Se: 0.247 0.247 0.718

Values from the calculation:
Energy above the lowest structure with this stoichiometry, eV/atom: 0.000
Crystal system: monoclinic
Energy relative to the elements, uncorrected, kJ/mol of formula units: 132

8.
DFT (PBEsol) results for crystalline HgIrSe at its relaxed geometry.

a b c (Å): 3.445 3.445 5.823
angles (deg): 90.00 90.00 120.00
Fractional positions:
Hg: 0.000 0.000 0.000
Ir: 0.667 0.333 0.657
Se: 0.333 0.667 0.430

Values from the calculation:
Crystal system: trigonal
Energy relative to the elements, uncorrected, kJ/mol of formula units: 43

9.
DFT (PBEsol) results for crystalline Hg3IrSe at its relaxed geometry.

a b c (Å): 5.129 5.129 5.129
angles (deg): 90.00 90.00 90.00
Fractional positions:
Hg: 0.000 0.000 0.500
Hg: 0.000 0.500 0.000
Hg: 0.500 0.000 0.000
Ir: 0.000 0.000 0.000
Se: 0.500 0.500 0.500

Values from the calculation:
Crystal system: cubic
Energy relative to the elements, uncorrected, kJ/mol of formula units: 338

10.
DFT (PBEsol) results for crystalline Si2HgIr at its relaxed geometry.

a b c (Å): 4.590 4.590 3.087
angles (deg): 90.00 90.00 106.24
Fractional positions:
Si: 0.000 0.500 0.000
Si: 0.500 0.000 0.000
Hg: 0.000 0.000 0.500
Ir: 0.500 0.500 0.500

Values from the calculation:
Crystal system: orthorhombic
Energy relative to the elements, uncorrected, kJ/mol of formula units: 149

11.
DFT (PBEsol) results for crystalline Si2HgIr at its relaxed geometry.

a b c (Å): 2.835 2.961 7.881
angles (deg): 90.00 90.07 90.00
Fractional positions:
Si: 0.001 0.000 0.196
Si: 0.999 0.000 0.804
Hg: 0.000 0.500 0.500
Ir: 0.500 0.500 0.000

Values from the calculation:
Crystal system: monoclinic
Energy relative to the elements, uncorrected, kJ/mol of formula units: -20

12.
DFT (PBEsol) results for crystalline Si2HgIr at its relaxed geometry.

a b c (Å): 5.959 5.959 5.959
angles (deg): 153.21 133.07 54.86
Fractional positions:
Si: 0.197 0.197 0.000
Si: 0.803 0.803 0.000
Hg: 0.500 0.000 0.500
Ir: 0.000 0.500 0.500

Values from the calculation:
Crystal system: orthorhombic
Energy relative to the elements, uncorrected, kJ/mol of formula units: 76

13.
DFT (PBEsol) results for crystalline SnHg3Ir at its relaxed geometry.

a b c (Å): 5.302 5.302 5.302
angles (deg): 90.00 90.00 90.00
Fractional positions:
Sn: 0.000 0.000 0.000
Hg: 0.000 0.000 0.500
Hg: 0.000 0.500 0.000
Hg: 0.500 0.000 0.000
Ir: 0.500 0.500 0.500

Values from the calculation:
Crystal system: cubic
Formation energy from the elements, eV per atom: 1.441

14.
DFT (PBEsol) results for crystalline TaHgIr2 at its relaxed geometry.

a b c (Å): 4.137 4.137 3.746
angles (deg): 90.00 90.00 90.00
Fractional positions:
Ta: 0.000 0.000 0.000
Hg: 0.500 0.500 0.000
Ir: 0.000 0.500 0.500
Ir: 0.500 0.000 0.500

Values from the calculation:
Crystal system: tetragonal
Formation energy from the elements, eV per atom: 0.017

15.
DFT (PBEsol) results for crystalline Ta2HgIr at its relaxed geometry.

a b c (Å): 3.059 3.679 6.095
angles (deg): 90.00 90.00 90.00
Fractional positions:
Ta: 0.000 0.000 0.000
Ta: 0.500 0.500 0.262
Hg: 0.000 0.000 0.521
Ir: 0.500 0.500 0.790

Values from the calculation:
Crystal system: orthorhombic
Formation energy from the elements, eV per atom: -0.040

16.
DFT (PBEsol) results for crystalline Ta2HgIr at its relaxed geometry.

a b c (Å): 9.674 9.674 9.674
angles (deg): 17.25 17.25 17.25
Fractional positions:
Ta: 0.000 0.000 0.000
Ta: 0.247 0.247 0.247
Hg: 0.755 0.755 0.755
Ir: 0.507 0.507 0.507

Values from the calculation:
Crystal system: trigonal
Formation energy from the elements, eV per atom: 0.110

17.
DFT (PBEsol) results for crystalline TaHgIr2 at its relaxed geometry.

a b c (Å): 5.052 5.052 5.052
angles (deg): 134.90 134.90 65.69
Fractional positions:
Ta: 0.000 0.000 0.000
Hg: 0.250 0.750 0.500
Ir: 0.500 0.500 0.000
Ir: 0.750 0.250 0.500

Values from the calculation:
Crystal system: tetragonal
Formation energy from the elements, eV per atom: -0.041

18.
DFT (PBEsol) results for crystalline TaHgIr2 at its relaxed geometry.

a b c (Å): 5.026 5.026 4.837
angles (deg): 101.18 101.18 32.76
Fractional positions:
Ta: 0.000 0.000 0.000
Hg: 0.771 0.771 0.311
Ir: 0.248 0.248 0.808
Ir: 0.526 0.526 0.524

Values from the calculation:
Crystal system: monoclinic
Formation energy from the elements, eV per atom: 0.017

19.
DFT (PBEsol) results for crystalline TaHg2Ir at its relaxed geometry.

a b c (Å): 4.863 4.863 4.863
angles (deg): 127.69 127.69 77.13
Fractional positions:
Ta: 0.000 0.000 0.000
Hg: 0.250 0.750 0.500
Hg: 0.500 0.500 0.000
Ir: 0.750 0.250 0.500

Values from the calculation:
Crystal system: tetragonal
Formation energy from the elements, eV per atom: 0.259

20.
DFT (PBEsol) results for crystalline TcHgIr at its relaxed geometry.

a b c (Å): 6.353 6.353 6.353
angles (deg): 154.47 154.47 36.42
Fractional positions:
Tc: 0.000 0.000 0.000
Hg: 0.681 0.681 0.000
Ir: 0.364 0.364 0.000

Values from the calculation:
Crystal system: tetragonal
Formation energy from the elements, eV per atom: 0.146